Entry 1:
## Sr2AgMo (PBE-GGA)

Data for a geometry-optimized Sr2AgMo structure.

```
Sr2AgMo
1.0
-4.446 0.784 -4.885
-1.479 -5.050 -4.069
0.199 2.195 6.276
Mo Sr Ag
1 2 1
Cartesian
-3.366 0.595 -1.183
-5.835 -4.202 -8.820
-2.252 -2.588 -1.333
-3.159 -2.275 -4.774
```

Properties
Volume, A^3/atom: 29.7
Magnetization, μB/f.u.: 2.94
Formation enthalpy at 0 K, eV/atom: 0.6360
Space-group type: No. 44
Relative energy among the computed polymorphs, kJ per mole of atoms: 4.8

Entry 2:
## SrAgMo3 (PBE-GGA)

Data for a geometry-optimized SrAgMo3 structure.

```
SrAgMo3
1.0
-4.788 -0.535 -1.256
1.284 -0.209 -4.806
0.464 -4.946 0.339
Mo Ag Sr
3 1 1
Cartesian
0.642 -0.105 -2.403
0.232 -2.473 0.170
-2.394 -0.268 -0.628
0.000 0.000 0.000
-1.520 -2.845 -2.861
```

Properties
Volume, A^3/atom: 24.7
Magnetization, μB/f.u.: 2.18
Formation enthalpy at 0 K, eV/atom: 2.1417
Space-group type: No. 221
Relative energy among the computed polymorphs, kJ per mole of atoms: 0.0

Entry 3:
## SrAg2Mo (PBE-GGA)

Data for a geometry-optimized SrAg2Mo structure.

```
SrAg2Mo
1.0
-4.725 -1.394 2.669
1.048 -2.642 4.828
1.873 4.779 -2.245
Mo Sr Ag
1 1 2
Cartesian
-1.838 -2.018 3.749
-2.345 0.684 2.087
0.542 0.060 3.166
0.000 0.000 0.000
```

Properties
Volume, A^3/atom: 22.9
Magnetization, μB/f.u.: 3.64
Formation enthalpy at 0 K, eV/atom: 0.6839
Space-group type: No. 119
Relative energy among the computed polymorphs, kJ per mole of atoms: 13.2

Entry 4:
## SrAg2Mo (PBE-GGA)

Data for a geometry-optimized SrAg2Mo structure.

```
SrAg2Mo
1.0
5.072 0.000 0.000
0.000 3.123 -0.231
0.000 0.396 5.369
Sr Ag Mo
1 2 1
Cartesian
2.536 2.274 4.221
2.536 0.517 1.683
0.000 0.770 5.116
0.000 2.114 2.056
```

Properties
Volume, A^3/atom: 21.4
Magnetization, μB/f.u.: 1.79
Formation enthalpy at 0 K, eV/atom: 0.5850
Space-group type: No. 25
Relative energy among the computed polymorphs, kJ per mole of atoms: 3.7

Entry 5:
## SrAgMo2 (PBE-GGA)

Data for a geometry-optimized SrAgMo2 structure.

```
SrAgMo2
1.0
-2.089 1.582 -0.775
-3.358 -3.088 2.747
0.746 3.194 4.503
Sr Mo Ag
1 2 1
Cartesian
-2.537 0.045 2.112
0.366 1.564 2.205
0.008 0.033 0.046
-2.164 1.642 4.363
```

Properties
Volume, A^3/atom: 20.3
Magnetization, μB/f.u.: 0.00
Formation enthalpy at 0 K, eV/atom: 0.9998
Space-group type: No. 47
Relative energy among the computed polymorphs, kJ per mole of atoms: 52.8

Entry 6:
## Sr3AgMo (PBE-GGA)

Data for a geometry-optimized Sr3AgMo structure.

```
Sr3AgMo
1.0
6.012 0.000 0.000
0.000 6.012 0.000
0.000 0.000 6.012
Mo Sr Ag
1 3 1
Cartesian
3.006 3.006 3.006
0.000 0.000 3.006
0.000 3.006 0.000
3.006 0.000 0.000
0.000 0.000 0.000
```

Properties
Volume, A^3/atom: 43.5
Magnetization, μB/f.u.: 4.56
Formation enthalpy at 0 K, eV/atom: 0.7894
Space-group type: No. 221
Relative energy among the computed polymorphs, kJ per mole of atoms: 0.0

Entry 7:
## SrAgMo (PBE-GGA)

Data for a geometry-optimized SrAgMo structure.

```
SrAgMo
1.0
-3.759 -1.800 -3.132
-0.169 -5.064 -1.226
-3.779 -3.025 1.935
Mo Sr Ag
1 1 1
Cartesian
-3.854 -4.945 -1.211
-5.781 -7.417 -1.817
0.000 0.000 0.000
```

Properties
Volume, A^3/atom: 33.4
Magnetization, μB/f.u.: 4.80
Formation enthalpy at 0 K, eV/atom: 1.5436
Space-group type: No. 216
Relative energy among the computed polymorphs, kJ per mole of atoms: 74.0

Entry 8:
## SrAg2Mo (PBE-GGA)

Data for a geometry-optimized SrAg2Mo structure.

```
SrAg2Mo
1.0
-2.087 0.733 4.501
0.319 -0.927 4.918
3.340 5.219 1.507
Ag Mo Sr
2 1 1
Cartesian
3.123 4.904 1.504
1.002 2.827 5.465
1.179 3.769 8.195
0.393 1.256 2.732
```

Properties
Volume, A^3/atom: 22.4
Magnetization, μB/f.u.: 0.81
Formation enthalpy at 0 K, eV/atom: 0.6452
Space-group type: No. 12
Relative energy among the computed polymorphs, kJ per mole of atoms: 9.5

Entry 9:
## SrAgMo2 (PBE-GGA)

Data for a geometry-optimized SrAgMo2 structure.

```
SrAgMo2
1.0
-2.807 1.395 -0.435
-0.723 -0.003 4.659
2.361 4.867 0.369
Sr Mo Ag
1 2 1
Cartesian
-0.223 3.131 -0.033
0.000 0.000 0.000
-1.765 0.696 2.112
0.819 2.432 2.514
```

Properties
Volume, A^3/atom: 20.2
Magnetization, μB/f.u.: 0.00
Formation enthalpy at 0 K, eV/atom: 0.9017
Space-group type: No. 47
Relative energy among the computed polymorphs, kJ per mole of atoms: 43.3

Entry 10:
## SrAg2Mo (PBE-GGA)

Data for a geometry-optimized SrAg2Mo structure.

```
SrAg2Mo
1.0
5.905 -0.015 -0.034
2.669 5.268 0.034
-3.788 -3.441 2.946
Mo Ag Sr
1 2 1
Cartesian
4.483 2.747 0.000
8.398 5.145 0.000
3.223 -0.402 1.456
1.544 2.202 1.490
```

Properties
Volume, A^3/atom: 23.0
Magnetization, μB/f.u.: 3.35
Formation enthalpy at 0 K, eV/atom: 0.6696
Space-group type: No. 44
Relative energy among the computed polymorphs, kJ per mole of atoms: 11.8

Entry 11:
## SrAgMo2 (PBE-GGA)

Data for a geometry-optimized SrAgMo2 structure.

```
SrAgMo2
1.0
3.001 0.000 0.000
-1.091 2.796 0.000
0.000 0.000 9.718
Mo Ag Sr
2 1 1
Cartesian
0.955 1.398 2.037
0.000 0.000 0.171
0.955 1.398 7.560
0.000 0.000 4.808
```

Properties
Volume, A^3/atom: 20.4
Magnetization, μB/f.u.: 0.00
Formation enthalpy at 0 K, eV/atom: 0.6315
Space-group type: No. 35
Relative energy among the computed polymorphs, kJ per mole of atoms: 17.2

Entry 12:
## SrAgMo2 (PBE-GGA)

Data for a geometry-optimized SrAgMo2 structure.

```
SrAgMo2
1.0
3.319 0.000 0.000
0.000 3.319 0.000
0.000 0.000 7.873
Sr Ag Mo
1 1 2
Cartesian
0.000 0.000 3.897
1.660 1.660 6.271
1.660 1.660 1.390
0.000 0.000 0.252
```

Properties
Volume, A^3/atom: 21.7
Magnetization, μB/f.u.: 0.00
Formation enthalpy at 0 K, eV/atom: 0.4531
Space-group type: No. 99
Relative energy among the computed polymorphs, kJ per mole of atoms: 0.0

Entry 13:
## SrAgMo2 (PBE-GGA)

Data for a geometry-optimized SrAgMo2 structure.

```
SrAgMo2
1.0
-4.599 -1.922 1.648
-0.636 -1.557 -3.591
1.804 -3.346 1.131
Mo Sr Ag
2 1 1
Cartesian
0.584 -2.451 -1.230
0.000 0.000 0.000
-2.617 -1.740 -0.972
-1.398 -2.634 1.389
```

Properties
Volume, A^3/atom: 20.6
Magnetization, μB/f.u.: 0.00
Formation enthalpy at 0 K, eV/atom: 0.9517
Space-group type: No. 123
Relative energy among the computed polymorphs, kJ per mole of atoms: 48.1

Entry 14:
## SrAgMo2 (PBE-GGA)

Data for a geometry-optimized SrAgMo2 structure.

```
SrAgMo2
1.0
2.261 -3.553 2.280
2.743 0.960 3.806
-1.426 -1.327 4.374
Mo Sr Ag
2 1 1
Cartesian
2.683 -2.940 7.845
0.894 -0.980 2.615
0.000 0.000 0.000
1.789 -1.960 5.230
```

Properties
Volume, A^3/atom: 19.4
Magnetization, μB/f.u.: 0.00
Formation enthalpy at 0 K, eV/atom: 1.4390
Space-group type: No. 225
Relative energy among the computed polymorphs, kJ per mole of atoms: 95.1

Entry 15:
## Sr2AgMo (PBE-GGA)

Data for a geometry-optimized Sr2AgMo structure.

```
Sr2AgMo
1.0
-3.115 2.801 2.148
-0.914 -3.300 2.980
3.909 0.417 5.127
Mo Sr Ag
1 2 1
Cartesian
0.871 -0.138 6.603
-0.483 0.654 3.605
2.680 -2.854 7.609
1.307 -2.071 4.596
```

Properties
Volume, A^3/atom: 32.3
Magnetization, μB/f.u.: 3.40
Formation enthalpy at 0 K, eV/atom: 0.5859
Space-group type: No. 38
Relative energy among the computed polymorphs, kJ per mole of atoms: 0.0

| no. | energy (eV/atom) |
| --- | --- |
| 1 | -3.626 |
| 2 | -5.264 |
| 3 | -3.870 |
| 4 | -3.969 |
| 5 | -5.549 |
| 6 | -2.956 |
| 7 | -3.578 |
| 8 | -3.909 |
| 9 | -5.647 |
| 10 | -3.884 |
| 11 | -5.917 |
| 12 | -6.096 |
| 13 | -5.597 |
| 14 | -5.110 |
| 15 | -3.676 |